The following is a PBE+U calculation of a relaxed structure of Ac2ErVO6, from Alexandria via LeMat-Bulk.

Calculated values
E_tot (eV for the cell shown): -162.59
Space group: P2_1/c (14)
Total magnetization (μB per formula unit): 2.000

Cell lengths 5.847, 5.943, 10.182 Å; angles 90.00, 124.68, 90.00 degrees
Element x y z (fractional)
Ac  0.239  0.043  0.249
Ac  0.239  0.457  0.749
Ac  0.761  0.543  0.251
Ac  0.761  0.957  0.751
Er  0.500  0.000  0.000
Er  0.500  0.500  0.500
V  0.000  0.000  0.500
V  0.000  0.500  0.000
O  0.149  0.217  0.952
O  0.149  0.283  0.452
O  0.236  0.700  0.954
O  0.236  0.800  0.454
O  0.330  0.027  0.742
O  0.330  0.473  0.242
O  0.670  0.527  0.758
O  0.670  0.973  0.258
O  0.764  0.200  0.546
O  0.764  0.300  0.046
O  0.851  0.717  0.548
O  0.851  0.783  0.048